# 1
A plane-wave DFT calculation with PBE was carried out for a relaxed Ac2TlSe crystal.

Output
formation energy without anion corrections	-0.9944	eV/atom
VASP energy	-18.05	eV/cell
polymorph energy (0 for the lowest one)	8.90	kJ/mol of atoms

Cell lengths 4.319, 4.319, 9.214 Å; angles 76.45, 76.45, 60.00 degrees
Fractional positions:
Ac  0.073  0.073  0.780
Ac  0.260  0.260  0.221
Se  0.667  0.667  0.998
Tl  0.500  0.500  0.501

***

# 2
A plane-wave DFT calculation with PBE was carried out for a relaxed Ac3TlSe6 crystal.

Output
formation energy without anion corrections	-1.5745	eV/atom
VASP energy	-102.69	eV/cell

Cell lengths 7.378, 9.695, 9.695 Å; angles 102.90, 90.00, 90.00 degrees
Fractional positions:
Se  0.655  0.219  0.781
Se  0.688  0.637  0.684
Se  0.674  0.968  0.032
Se  0.188  0.684  0.637
Se  0.206  0.095  0.563
Se  0.155  0.781  0.219
Se  0.706  0.905  0.437
Se  0.188  0.363  0.316
Se  0.688  0.316  0.363
Se  0.206  0.437  0.905
Se  0.174  0.032  0.968
Se  0.706  0.563  0.095
Tl  0.015  0.197  0.803
Tl  0.515  0.803  0.197
Ac  0.476  0.287  0.086
Ac  0.901  0.601  0.399
Ac  0.476  0.914  0.713
Ac  0.976  0.713  0.914
Ac  0.976  0.086  0.287
Ac  0.401  0.399  0.601